First-principles (PBEsol) data for a relaxed structure of LiCa2Pt, as listed in Alexandria.

abc: 7.073 7.073 7.073
angles: 90.00 90.00 90.00
Space group Fm-3m (No. 225)
Unique sites:
Li1 0.000 0.000 0.000 x4
Ca1 0.250 0.250 0.250 x8
Pt1 0.000 0.000 0.500 x4

Values from the calculation:
Volume   354 Å³ per cell
Mass density   5.30 g/cm3
Formation energy from the elements   -0.49 eV/atom
Raw total energy   -60.6 eV for the cell shown

---

First-principles (PBEsol) data for a relaxed structure of ScIn2Hg2, as listed in Alexandria.

abc: 4.312 4.312 12.693
angles: 90.00 90.00 90.00
Space group I4/mmm (No. 139)
Unique sites:
Sc1 0.000 0.000 0.000 x2
In1 0.000 0.000 0.396 x4
Hg1 0.000 0.500 0.250 x4

Values from the calculation:
Volume   236 Å³ per cell
Mass density   9.51 g/cm3
Formation energy from the elements   -0.01 eV/atom
Raw total energy   -27.5 eV for the cell shown

---

First-principles (PBEsol) data for a relaxed structure of NbZn3Bi, as listed in Alexandria.

abc: 5.153 5.153 5.153
angles: 90.00 90.00 90.00
Space group Pm-3m (No. 221)
Unique sites:
Nb1 0.000 0.000 0.000 x1
Zn1 0.000 0.500 0.500 x3
Bi1 0.500 0.500 0.500 x1

Values from the calculation:
Volume   137 Å³ per cell
Mass density   6.04 g/cm3
Formation energy from the elements   1.54 eV/atom
Raw total energy   -12.2 eV for the cell shown

---

First-principles (PBEsol) data for a relaxed structure of Os2RhCl, as listed in Alexandria.

abc: 4.658 2.714 4.747
angles: 90.00 109.03 90.00
Space group P2/m (No. 10)
Unique sites:
Os1 0.000 0.000 0.000 x1
Os2 0.000 0.500 0.500 x1
Rh1 0.500 0.000 0.500 x1
Cl1 0.500 0.500 0.000 x1

Values from the calculation:
Volume   57 Å³ per cell
Mass density   15.19 g/cm3
Formation energy from raw total energies   1.039 eV per atom
ΔE to the lowest computed polymorph   335 meV per atom
Raw total energy   -30.4 eV for the cell shown

---

First-principles (PBEsol) data for a relaxed structure of FeIr4Pt, as listed in Alexandria.

abc: 7.172 7.172 7.172
angles: 90.00 90.00 90.00
Space group F-43m (No. 216)
Unique sites:
Fe1 0.000 0.000 0.000 x4
Ir1 0.125 0.125 0.625 x16
Pt1 0.250 0.250 0.250 x4

Values from the calculation:
Volume   369 Å³ per cell
Mass density   18.36 g/cm3
Formation energy from the elements   0.63 eV/atom
Raw total energy   -205.8 eV for the cell shown

---

First-principles (PBEsol) data for a relaxed structure of LiMg2Zr, as listed in Alexandria.

abc: 2.887 4.625 6.217
angles: 90.00 90.00 90.00
Space group Pmm2 (No. 25)
Unique sites:
Li1 0.000 0.000 0.000 x1
Mg1 0.000 0.000 0.499 x1
Mg2 0.500 0.500 0.241 x1
Zr1 0.500 0.500 0.743 x1

Values from the calculation:
Volume   83 Å³ per cell
Mass density   2.94 g/cm3
Formation energy from the elements   0.12 eV/atom
Raw total energy   -14.0 eV for the cell shown